First-principles (GGA-PBE) data for a relaxed KBaSb2 crystal, as listed in the Alexandria database.

The structure in POSCAR format:
```
KBaSb2
1.0
5.244 0.000 0.000
0.000 5.244 0.000
0.000 0.000 5.058
K Ba Sb
1 1 2
Direct
0.000 0.000 0.000 K
0.500 0.500 0.000 Ba
0.000 0.500 0.500 Sb
0.500 0.000 0.500 Sb
```

## Properties
Space group: P4/mmm (123)
Energy relative to the lowest polymorph listed for this composition (eV per atom): 0.067
Uncorrected energy (eV per atom): -3.40
Raw formation energy (eV per atom): -0.58

First-principles (GGA-PBE) data for a relaxed Na2TlH6Ir crystal, as listed in the Alexandria database.

The structure in POSCAR format:
```
Na2TlH6Ir
1.0
5.201 0.000 0.000
-2.600 4.504 0.000
0.000 0.000 6.696
Na Tl H Ir
2 1 6 1
Direct
0.333 0.667 0.093 Na
0.667 0.333 0.907 Na
0.000 0.000 0.500 Tl
0.150 0.300 0.849 H
0.150 0.850 0.849 H
0.300 0.150 0.151 H
0.700 0.850 0.849 H
0.850 0.150 0.151 H
0.850 0.700 0.151 H
0.000 0.000 0.000 Ir
```

## Properties
Space group: P-3m1 (164)
Uncorrected energy (eV per atom): -3.60

First-principles (GGA-PBE) data for a relaxed BeNbHRu2 crystal, as listed in the Alexandria database.

The structure in POSCAR format:
```
BeNbHRu2
1.0
4.139 0.000 0.000
0.000 4.139 0.000
0.000 0.000 3.330
Be Nb H Ru
1 1 1 2
Direct
0.000 0.000 0.000 Be
0.500 0.500 0.000 Nb
0.000 0.000 0.500 H
0.000 0.500 0.500 Ru
0.500 0.000 0.500 Ru
```

## Properties
Space group: P4/mmm (123)
Uncorrected energy (eV per atom): -7.30

First-principles (GGA-PBE) data for a relaxed CsNpHg2Cl8 crystal, as listed in the Alexandria database.

The structure in POSCAR format:
```
CsNpHg2Cl8
1.0
6.649 0.000 0.000
0.997 7.112 0.000
1.859 3.251 8.991
Cs Np Hg Cl
1 1 2 8
Direct
0.000 0.000 0.000 Cs
0.000 0.000 0.500 Np
0.469 0.461 0.222 Hg
0.531 0.539 0.778 Hg
0.126 0.722 0.746 Cl
0.213 0.804 0.329 Cl
0.317 0.233 0.464 Cl
0.444 0.260 0.005 Cl
0.556 0.740 0.995 Cl
0.683 0.767 0.536 Cl
0.787 0.196 0.671 Cl
0.874 0.278 0.254 Cl
```

## Properties
Space group: P-1 (2)
Uncorrected energy (eV per atom): -3.62
Raw formation energy (eV per atom): -1.19

First-principles (GGA-PBE) data for a relaxed Li4Mg2Cd3 crystal, as listed in the Alexandria database.

The structure in POSCAR format:
```
Li4Mg2Cd3
1.0
5.003 -1.935 0.000
5.003 1.935 0.000
-3.230 0.000 9.023
Li Mg Cd
4 2 3
Direct
0.161 0.161 0.048 Li
0.163 0.163 0.392 Li
0.837 0.837 0.608 Li
0.839 0.839 0.952 Li
0.168 0.168 0.725 Mg
0.832 0.832 0.275 Mg
0.492 0.492 0.834 Cd
0.500 0.500 0.500 Cd
0.508 0.508 0.166 Cd
```

## Properties
Space group: C2/m (12)
Energy relative to the lowest polymorph listed for this composition (eV per atom): 0.000
Uncorrected energy (eV per atom): -1.69
ΔE_f (kJ/mol of formula units): -160

First-principles (GGA-PBE) data for a relaxed Zr2CrHPt crystal, as listed in the Alexandria database.

The structure in POSCAR format:
```
Zr2CrHPt
1.0
4.595 0.000 0.000
0.000 4.595 0.000
0.000 0.000 3.470
Zr Cr H Pt
2 1 1 1
Direct
0.000 0.500 0.000 Zr
0.500 0.000 0.000 Zr
0.000 0.000 0.500 Cr
0.000 0.000 0.000 H
0.500 0.500 0.500 Pt
```

## Properties
Space group: P4/mmm (123)
Uncorrected energy (eV per atom): -7.65

First-principles (GGA-PBE) data for a relaxed Y2CoSn3 crystal, as listed in the Alexandria database.

The structure in POSCAR format:
```
Y2CoSn3
1.0
10.902 0.000 0.000
0.000 4.584 0.000
-4.577 0.000 5.633
Y Co Sn
4 2 6
Direct
0.000 0.000 0.000 Y
0.130 0.000 0.602 Y
0.500 0.500 0.000 Y
0.630 0.500 0.602 Y
0.259 0.500 0.050 Co
0.759 0.000 0.050 Co
0.241 0.500 0.392 Sn
0.376 0.000 0.179 Sn
0.473 0.000 0.693 Sn
0.741 0.000 0.392 Sn
0.876 0.500 0.179 Sn
0.973 0.500 0.693 Sn
```

## Properties
Space group: Cm (8)
Uncorrected energy (eV per atom): -5.85
ΔE_f (kJ/mol of formula units): -294

First-principles (GGA-PBE) data for a relaxed KTa2Ag crystal, as listed in the Alexandria database.

The structure in POSCAR format:
```
KTa2Ag
1.0
2.868 0.000 0.000
0.000 6.027 0.000
0.000 0.000 11.111
K Ta Ag
2 4 2
Direct
0.000 0.000 0.000 K
0.500 0.500 0.500 K
0.000 0.000 0.500 Ta
0.000 0.500 0.802 Ta
0.500 0.000 0.302 Ta
0.500 0.500 0.000 Ta
0.000 0.500 0.228 Ag
0.500 0.000 0.728 Ag
```

## Properties
Space group: Imm2 (44)
Energy relative to the lowest polymorph listed for this composition (eV per atom): 0.539
Uncorrected energy (eV per atom): -5.84
ΔE_f (kJ/mol of formula units): 414